## Pm2NdAg2Ge2 (PBE-GGA)

Data for an optimized crystal structure of Pm2NdAg2Ge2.

Cell lengths 4.5998, 4.5998, 9.7765 Å; angles 76.39, 76.39, 60.00 degrees
Fractional coordinates of all 7 atoms:
Pm (0.1276, 0.1276, 0.6172)
Pm (0.8724, 0.8724, 0.3828)
Nd (0.0000, 0.0000, 0.0000)
Ag (0.6002, 0.6002, 0.1994)
Ag (0.3998, 0.3998, 0.8006)
Ge (0.7396, 0.7396, 0.7811)
Ge (0.2604, 0.2604, 0.2189)

Computed properties:
- DFT formation energy: -433 meV per atom
- Total magnetization: 0.000 μB/atom